(1)
# BaRe, relaxed, DFT PBE
data_BaRe
_chemical_formula_sum 'Ba4 Re4'
_cell_length_a 4.2799
_cell_length_b 4.2799
_cell_length_c 18.7448
_cell_angle_alpha 90.00
_cell_angle_beta 90.00
_cell_angle_gamma 120.00
_space_group_name_H-M_alt 'P 63/m m c'
_space_group_IT_number 194
_space_group_name_Hall '-P 6c 2c'
loop_
_atom_site_label
_atom_site_fract_x
_atom_site_fract_y
_atom_site_fract_z
_atom_site_occupancy
Ba1 0.3333 0.6667 0.1182 1
Re1 0.0000 0.0000 0.2500 1
Re2 0.3333 0.6667 0.7500 1
# electronic total energy: -6.77 eV per atom
# volume: 37.2 Å³ per atom
# polymorph energy (0 for the lowest one): 1.32 kJ/mol of atoms
# energy of formation from the pure elements: 0.42 eV per atom



(2)
# BaRe, relaxed, DFT PBE
data_BaRe
_chemical_formula_sum 'Ba2 Re2'
_cell_length_a 3.312
_cell_length_b 3.360
_cell_length_c 10.309
_cell_angle_alpha 90.00
_cell_angle_beta 99.09
_cell_angle_gamma 90.00
_space_group_name_H-M_alt 'P 1 21/m 1'
_space_group_IT_number 11
_space_group_name_Hall '-P 2yb'
loop_
_atom_site_label
_atom_site_fract_x
_atom_site_fract_y
_atom_site_fract_z
_atom_site_occupancy
Ba1 0.103 0.250 0.198 1
Re1 0.276 0.250 0.553 1
# electronic total energy: -6.54 eV per atom
# volume: 28.3 Å³ per atom
# polymorph energy (0 for the lowest one): 23.07 kJ/mol of atoms
# energy of formation from the pure elements: 0.64 eV per atom



(3)
# Ba2Re3, relaxed, DFT PBE
data_Ba2Re3
_chemical_formula_sum 'Ba6 Re9'
_cell_length_a 4.1841
_cell_length_b 4.1841
_cell_length_c 29.9341
_cell_angle_alpha 90.00
_cell_angle_beta 90.00
_cell_angle_gamma 120.00
_space_group_name_H-M_alt 'R -3 m'
_space_group_IT_number 166
_space_group_name_Hall '-R 3 2"'
loop_
_atom_site_label
_atom_site_fract_x
_atom_site_fract_y
_atom_site_fract_z
_atom_site_occupancy
Ba1 0.0000 0.0000 0.0889 1
Re1 0.0000 0.0000 0.3381 1
Re2 0.0000 0.0000 0.5000 1
# electronic total energy: -6.90 eV per atom
# volume: 30.3 Å³ per atom
# polymorph energy (0 for the lowest one): 0.00 kJ/mol of atoms
# energy of formation from the pure elements: 1.34 eV per atom



(4)
# BaRe, relaxed, DFT PBE
data_BaRe
_chemical_formula_sum 'Ba4 Re4'
_cell_length_a 6.836
_cell_length_b 6.836
_cell_length_c 6.354
_cell_angle_alpha 90.00
_cell_angle_beta 90.00
_cell_angle_gamma 90.00
_space_group_name_H-M_alt 'P 42/m n m'
_space_group_IT_number 136
_space_group_name_Hall '-P 4n 2n'
loop_
_atom_site_label
_atom_site_fract_x
_atom_site_fract_y
_atom_site_fract_z
_atom_site_occupancy
Ba1 0.187 0.187 0.000 1
Re1 0.115 0.115 0.500 1
# electronic total energy: -5.69 eV per atom
# volume: 37.1 Å³ per atom
# polymorph energy (0 for the lowest one): 105.48 kJ/mol of atoms
# energy of formation from the pure elements: 1.50 eV per atom



(5)
# BaRe4, relaxed, DFT PBE
data_BaRe4
_chemical_formula_sum 'Ba2 Re8'
_cell_length_a 4.398
_cell_length_b 4.398
_cell_length_c 10.830
_cell_angle_alpha 90.00
_cell_angle_beta 90.00
_cell_angle_gamma 90.00
_space_group_name_H-M_alt 'I 4/m m m'
_space_group_IT_number 139
_space_group_name_Hall '-I 4 2'
loop_
_atom_site_label
_atom_site_fract_x
_atom_site_fract_y
_atom_site_fract_z
_atom_site_occupancy
Ba1 0.000 0.000 0.000 1
Re1 0.000 0.000 0.369 1
Re2 0.000 0.500 0.250 1
# electronic total energy: -9.88 eV per atom
# volume: 21.0 Å³ per atom
# polymorph energy (0 for the lowest one): 0.00 kJ/mol of atoms
# energy of formation from the pure elements: 0.46 eV per atom



(6)
# Ba5Re, relaxed, DFT PBE
data_Ba5Re
_chemical_formula_sum 'Ba5 Re1'
_cell_length_a 4.053
_cell_length_b 4.053
_cell_length_c 17.676
_cell_angle_alpha 90.00
_cell_angle_beta 90.00
_cell_angle_gamma 90.00
_space_group_name_H-M_alt 'P 4/m m m'
_space_group_IT_number 123
_space_group_name_Hall '-P 4 2'
loop_
_atom_site_label
_atom_site_fract_x
_atom_site_fract_y
_atom_site_fract_z
_atom_site_occupancy
Ba1 0.000 0.000 0.000 1
Ba2 0.000 0.000 0.397 1
Ba3 0.500 0.500 0.196 1
Re1 0.500 0.500 0.500 1
# electronic total energy: -3.05 eV per atom
# volume: 48.4 Å³ per atom
# polymorph energy (0 for the lowest one): 4.68 kJ/mol of atoms
# energy of formation from the pure elements: 0.62 eV per atom